Here is YTiGaHg after structural relaxation from Alexandria. Energies are from PBE.

a b c (Å): 6.9877 6.9877 6.9877
angles (deg): 90.00 90.00 90.00
With the nearest neighbours (Å) after each atom.
Positions (direct):
Y (0.0000, 0.0000, 0.0000)  4 Hg 3.03, 4 Ga 3.03
Y (0.0000, 0.5000, 0.5000)  4 Hg 3.03, 4 Ga 3.03
Y (0.5000, 0.0000, 0.5000)  4 Hg 3.03, 4 Ga 3.03
Y (0.5000, 0.5000, 0.0000)  4 Hg 3.03, 4 Ga 3.03
Ti (0.0000, 0.0000, 0.5000)  4 Hg 3.03, 4 Ga 3.03
Ti (0.0000, 0.5000, 0.0000)  4 Hg 3.03, 4 Ga 3.03
Ti (0.5000, 0.0000, 0.0000)  4 Hg 3.03, 4 Ga 3.03
Ti (0.5000, 0.5000, 0.5000)  4 Hg 3.03, 4 Ga 3.03
Ga (0.2500, 0.2500, 0.2500)  4 Ti 3.03, 4 Y 3.03
Ga (0.2500, 0.7500, 0.7500)  4 Ti 3.03, 4 Y 3.03
Ga (0.7500, 0.2500, 0.7500)  4 Ti 3.03, 4 Y 3.03
Ga (0.7500, 0.7500, 0.2500)  4 Ti 3.03, 4 Y 3.03
Hg (0.2500, 0.2500, 0.7500)  4 Ti 3.03, 4 Y 3.03
Hg (0.2500, 0.7500, 0.2500)  4 Ti 3.03, 4 Y 3.03
Hg (0.7500, 0.2500, 0.2500)  4 Ti 3.03, 4 Y 3.03
Hg (0.7500, 0.7500, 0.7500)  4 Y 3.03, 4 Ti 3.03

Values from the calculation:
Calculated volume = 21.32 Å³ per atom
Calculated total energy = -4.68 eV per atom
Space-group type = F-43m (216)